InCu | the Alexandria database | PBE | optimized geometry; total energy = -3.065 eV per atom; density of states at the Fermi level = 0.613 states/eV per atom; space group = P6_3/mmc (194)
1.0
4.614 0.000 0.000
-2.307 3.996 0.000
0.000 0.000 5.218
In Cu
2 2
Cartesian
0.000 2.664 1.305
2.307 1.332 3.914
0.000 2.664 3.914
2.307 1.332 1.305